The following is a DFT calculation (PBE) of a relaxed La2ErPaN4 crystal.

Cell and atoms, written as extended XYZ:
```
8
Lattice="6.106 0.000 0.000 0.000 3.585 0.000 -2.038 0.000 5.997" Properties=species:S:1:pos:R:3 pbc="T T T"
La 0.000 0.000 0.000
La 3.053 1.792 0.000
Er -1.019 1.792 2.998
Pa 2.034 0.000 2.998
N 0.080 0.000 4.285
N 1.062 1.792 1.743
N 3.006 1.792 4.253
N 3.989 0.000 1.712
```

Output
V	16.4	A^3/atom
ΔE_f (raw)	-1.57	eV/atom
ρ	9.26	g/cm3
crystal system	monoclinic


The following is a DFT calculation (PBE) of a relaxed Al2Zn5Ag crystal.

Cell and atoms, written as extended XYZ:
```
16
Lattice="5.700 0.000 0.000 0.000 11.228 0.000 0.000 0.000 3.957" Properties=species:S:1:pos:R:3 pbc="T T T"
Al 1.406 1.417 0.000
Al 1.444 7.031 0.000
Al 4.256 4.197 0.000
Al 4.293 9.810 0.000
Zn 0.000 0.000 1.978
Zn 0.006 8.435 1.978
Zn 1.379 9.796 0.000
Zn 1.471 4.182 0.000
Zn 2.844 2.821 1.978
Zn 2.850 5.614 1.978
Zn 2.856 8.407 1.978
Zn 4.229 7.045 0.000
Zn 4.320 1.432 0.000
Zn 5.694 2.793 1.978
Ag 0.000 5.614 1.978
Ag 2.850 0.000 1.978
```

Output
V	15.8	A^3/atom
formation energy from the elements	23	meV/atom
relative energy among the computed polymorphs	0	meV/atom
ρ	6.41	g/cm3
crystal system	orthorhombic


The following is a DFT calculation (PBE) of a relaxed CePu crystal.

Cell and atoms, written as extended XYZ:
```
4
Lattice="3.283 0.000 0.000 0.000 4.244 0.000 -0.923 0.000 6.477" Properties=species:S:1:pos:R:3 pbc="T T T"
Ce 0.377 1.061 2.259
Ce 1.983 3.183 4.217
Pu 0.267 1.061 6.272
Pu 2.092 3.183 0.205
```

Output
V	22.6	A^3/atom
formation energy from the elements	96	meV/atom
relative energy among the computed polymorphs	0	meV/atom
ρ	14.14	g/cm3
crystal system	monoclinic


The following is a DFT calculation (PBE) of a relaxed Cs2SiCI6 crystal.

Cell and atoms, written as extended XYZ:
```
10
Lattice="-4.003 4.003 5.630 4.003 -4.003 5.630 4.003 4.003 -5.630" Properties=species:S:1:pos:R:3 pbc="T T T"
Cs 4.003 0.000 2.815
Cs 0.000 4.003 2.815
Si 0.000 0.000 0.000
C 0.000 0.000 5.630
I 0.000 0.000 2.885
I 2.058 2.058 0.000
I 1.945 -1.945 5.630
I -1.945 1.945 5.630
I 1.945 1.945 5.630
I 0.000 0.000 8.375
```

Output
V	36.1	A^3/atom
ΔE_f (raw)	-0.15	eV/atom
ρ	4.91	g/cm3
crystal system	tetragonal


The following is a DFT calculation (PBE) of a relaxed CrNi6Ru crystal.

Cell and atoms, written as extended XYZ:
```
32
Lattice="3.587 -5.070 0.000 3.587 5.070 0.000 0.000 0.000 10.152" Properties=species:S:1:pos:R:3 pbc="T T T"
Cr 0.000 0.000 2.511
Cr 0.000 0.000 7.641
Cr 3.587 2.537 0.000
Cr 3.587 -2.537 0.000
Ni 0.000 0.000 0.000
Ni 0.000 0.000 5.076
Ni 1.784 1.273 1.256
Ni 1.784 1.273 8.896
Ni 1.787 1.268 3.788
Ni 1.787 1.268 6.364
Ni 3.587 2.537 2.520
Ni 3.587 2.537 7.632
Ni 1.784 -1.273 1.256
Ni 1.784 -1.273 8.896
Ni 1.787 -1.268 3.788
Ni 1.787 -1.268 6.364
Ni 3.587 0.000 0.000
Ni 3.587 0.000 5.076
Ni 5.387 1.268 3.788
Ni 5.387 1.268 6.364
Ni 5.389 1.273 1.256
Ni 5.389 1.273 8.896
Ni 3.587 -2.537 2.520
Ni 3.587 -2.537 7.632
Ni 5.387 -1.268 3.788
Ni 5.387 -1.268 6.364
Ni 5.389 -1.273 1.256
Ni 5.389 -1.273 8.896
Ru 3.587 2.549 5.076
Ru 3.587 0.000 2.521
Ru 3.587 0.000 7.631
Ru 3.587 -2.549 5.076
```

Output
V	11.5	A^3/atom
formation energy from the elements	86	meV/atom
ρ	9.09	g/cm3
crystal system	orthorhombic


The following is a DFT calculation (PBE) of a relaxed PrDy8Sc2 crystal.

Cell and atoms, written as extended XYZ:
```
11
Lattice="-2.690 4.083 7.808 2.690 -4.083 7.808 2.690 4.083 -7.808" Properties=species:S:1:pos:R:3 pbc="T T T"
Pr 0.000 0.000 0.000
Dy 2.690 -1.671 5.565
Dy 2.690 0.000 2.568
Dy 2.690 2.453 0.000
Dy 0.000 2.411 2.242
Dy 2.690 1.671 5.565
Dy 0.000 1.629 7.808
Dy 0.000 4.083 5.239
Dy 0.000 5.754 2.242
Sc 0.000 0.000 4.693
Sc 0.000 0.000 10.922
```

Output
V	31.2	A^3/atom
formation energy from the elements	126	meV/atom
relative energy among the computed polymorphs	0	meV/atom
ρ	7.41	g/cm3
crystal system	orthorhombic


The following is a DFT calculation (PBE) of a relaxed Nd8Dy3Tm crystal.

Cell and atoms, written as extended XYZ:
```
12
Lattice="3.532 -6.012 0.000 3.532 6.012 0.000 -2.422 0.000 9.562" Properties=species:S:1:pos:R:3 pbc="T T T"
Nd 1.424 3.043 6.366
Nd 0.894 0.000 1.559
Nd 3.219 3.043 3.197
Nd 0.240 0.000 7.942
Nd 4.403 0.000 1.620
Nd 1.424 -3.043 6.366
Nd 3.749 0.000 8.003
Nd 3.219 -3.043 3.197
Dy 1.766 3.006 0.000
Dy 1.766 -3.006 0.000
Dy 2.321 0.000 4.781
Tm -1.211 0.000 4.781
```

Output
V	33.8	A^3/atom
formation energy from the elements	113	meV/atom
ρ	7.40	g/cm3
crystal system	monoclinic


The following is a DFT calculation (PBE) of a relaxed LiZrTiRe crystal.

Cell and atoms, written as extended XYZ:
```
4
Lattice="0.000 3.222 3.222 3.222 0.000 3.222 3.222 3.222 0.000" Properties=species:S:1:pos:R:3 pbc="T T T"
Li 0.000 0.000 0.000
Zr 1.611 1.611 1.611
Ti 4.833 4.833 4.833
Re 3.222 3.222 3.222
```

Output
V	16.7	A^3/atom
formation energy from the elements	-107	meV/atom
ρ	8.25	g/cm3
crystal system	cubic


The following is a DFT calculation (PBE) of a relaxed TbNd5Ge4 crystal.

Cell and atoms, written as extended XYZ:
```
10
Lattice="7.914 -2.556 0.000 7.914 2.556 0.000 -0.093 0.000 7.028" Properties=species:S:1:pos:R:3 pbc="T T T"
Tb 0.000 0.000 0.000
Nd -0.046 0.000 3.514
Nd 5.201 0.000 6.978
Nd 5.265 0.000 3.545
Nd 10.471 0.000 3.483
Nd 10.535 0.000 0.050
Ge 2.767 0.000 1.748
Ge 7.747 0.000 1.708
Ge 7.989 0.000 5.321
Ge 12.969 0.000 5.280
```

Output
V	28.4	A^3/atom
formation energy from the elements	-619	meV/atom
ρ	6.84	g/cm3
crystal system	monoclinic


The following is a DFT calculation (PBE) of a relaxed NaSnSe2O8 crystal.

Cell and atoms, written as extended XYZ:
```
12
Lattice="4.394 -2.888 0.000 4.394 2.888 0.000 -0.017 0.000 7.454" Properties=species:S:1:pos:R:3 pbc="T T T"
Na 0.000 0.000 0.000
Sn -0.008 0.000 3.727
Se 3.123 0.000 1.995
Se 5.648 0.000 5.459
O 4.123 1.409 2.125
O 2.142 0.000 3.381
O 2.312 0.000 0.573
O 4.648 1.409 5.329
O 4.123 -1.409 2.125
O 6.459 0.000 6.881
O 6.629 0.000 4.074
O 4.648 -1.409 5.329
```

Output
V	15.8	A^3/atom
ΔE_f (raw)	-0.96	eV/atom
ρ	3.75	g/cm3
crystal system	monoclinic


The following is a DFT calculation (PBE) of a relaxed BaLiIn2 crystal.

Cell and atoms, written as extended XYZ:
```
4
Lattice="-2.729 2.747 3.865 2.729 -2.747 3.865 2.729 2.747 -3.865" Properties=species:S:1:pos:R:3 pbc="T T T"
Ba 0.000 0.000 0.000
Li 0.000 2.747 1.916
In 2.729 0.000 1.942
In 0.000 0.000 3.867
```

Output
V	29.0	A^3/atom
formation energy from the elements	-271	meV/atom
ρ	5.36	g/cm3
crystal system	orthorhombic


The following is a DFT calculation (PBE) of a relaxed Ca2Re crystal.

Cell and atoms, written as extended XYZ:
```
3
Lattice="3.292 0.000 0.000 -1.646 2.851 0.000 0.000 0.000 8.064" Properties=species:S:1:pos:R:3 pbc="T T T"
Ca 0.000 1.901 2.284
Ca 1.646 0.950 5.780
Re 0.000 0.000 0.000
```

Output
V	25.2	A^3/atom
formation energy from the elements	883	meV/atom
relative energy among the computed polymorphs	487	meV/atom
ρ	5.84	g/cm3
crystal system	trigonal